4
Lattice="5.100 -1.795 0.000 5.100 1.795 0.000 -0.756 0.000 4.787" Properties=species:S:1:pos:R:3 comment="Zr2TeAs (PBE, relaxed)" e_form_raw_ev_per_atom=-0.7744 dos_at_fermi_per_ev_fu=2.1 polymorph_energy_mev_per_atom=197 pbc="T T T"
Zr 0.000 0.000 0.000
Zr 1.762 0.000 2.783
Te 4.620 0.000 2.342
As 7.275 0.000 0.315

---

3
Lattice="0.000 3.648 3.648 3.648 0.000 3.648 3.648 3.648 0.000" Properties=species:S:1:pos:R:3 comment="TlTeCl (PBE, relaxed)" e_form_raw_ev_per_atom=-0.1905 dos_at_fermi_per_ev_fu=1.9 pbc="T T T"
Tl 0.000 0.000 0.000
Te 1.824 1.824 1.824
Cl 3.648 3.648 3.648

---

5
Lattice="3.990 0.000 0.000 0.000 3.990 0.000 0.000 0.000 5.669" Properties=species:S:1:pos:R:3 comment="ZrPPdO2 (PBE, relaxed)" e_form_raw_ev_per_atom=-1.0255 dos_at_fermi_per_ev_fu=4.1 polymorph_energy_mev_per_atom=0 pbc="T T T"
Zr 0.000 0.000 0.000
P 0.000 0.000 2.835
Pd 1.995 1.995 2.835
O 0.000 1.995 0.000
O 1.995 0.000 0.000

---

19
Lattice="7.729 -4.556 0.000 7.729 4.556 0.000 -0.382 0.000 8.524" Properties=species:S:1:pos:R:3 comment="Tb12Dy5Sc2 (PBE, relaxed)" dos_at_fermi_per_ev_fu=28.8 ef_mev_per_atom=120 pbc="T T T"
Tb 0.747 0.000 2.879
Tb 5.600 2.780 2.708
Tb 5.162 1.658 6.526
Tb 9.476 2.780 5.816
Tb 6.536 0.000 1.042
Tb 9.915 1.658 1.998
Tb 5.162 -1.658 6.526
Tb 8.540 0.000 7.482
Tb 5.600 -2.780 2.708
Tb 9.915 -1.658 1.998
Tb 9.476 -2.780 5.816
Tb 14.329 0.000 5.645
Dy 3.145 0.000 0.234
Dy 3.987 0.000 3.686
Dy 7.538 0.000 4.262
Dy 11.089 0.000 4.838
Dy 11.932 0.000 8.289
Sc 7.729 3.033 0.000
Sc 7.729 -3.033 0.000

---

18
Lattice="7.265 -3.339 0.000 7.265 3.339 0.000 0.000 0.000 6.676" Properties=species:S:1:pos:R:3 comment="Li2Ga5Ag2 (PBE, relaxed)" dos_at_fermi_per_ev_fu=2.2 ef_mev_per_atom=-9 pbc="T T T"
Li 7.265 2.374 5.714
Li 7.265 0.965 2.376
Li 7.265 -0.965 4.300
Li 7.265 -2.374 0.962
Ga 0.000 0.000 3.338
Ga 5.348 2.362 0.981
Ga 5.348 0.977 4.319
Ga 9.181 2.362 0.981
Ga 9.181 0.977 4.319
Ga 7.265 0.000 0.000
Ga 5.348 -0.977 2.357
Ga 5.348 -2.362 5.695
Ga 9.181 -0.977 2.357
Ga 9.181 -2.362 5.695
Ag 2.948 0.000 3.338
Ag 4.317 0.000 0.000
Ag 10.213 0.000 0.000
Ag 11.582 0.000 3.338

---

20
Lattice="-6.078 6.693 3.348 6.078 -6.693 3.348 6.078 6.693 -3.348" Properties=species:S:1:pos:R:3 comment="La2In5Hg3 (PBE, relaxed)" dos_at_fermi_per_ev_fu=3.3 ef_mev_per_atom=-302 pbc="T T T"
La 2.957 1.664 0.000
La 2.957 -1.664 3.348
La 3.122 8.357 0.000
La 3.122 5.028 3.348
In 6.078 -3.252 1.674
In 10.520 1.684 0.000
In 6.078 0.000 1.674
In 4.441 5.009 0.000
In 6.078 3.252 1.674
In 0.000 3.441 1.674
In 1.637 1.684 3.348
In 0.000 6.693 1.674
In -4.441 5.009 3.348
In 0.000 9.945 1.674
Hg 7.814 1.616 0.000
Hg 0.000 0.000 1.674
Hg 1.736 5.077 0.000
Hg 4.342 1.616 3.348
Hg 0.000 0.000 5.021
Hg -1.736 5.077 3.348

---

5
Lattice="5.344 0.000 0.000 0.000 5.344 0.000 0.000 0.000 6.257" Properties=species:S:1:pos:R:3 comment="SrYCoGe2 (PBE, relaxed)" dos_at_fermi_per_ev_fu=11.5 ef_mev_per_atom=1181 pbc="T T T"
Sr 0.000 0.000 0.000
Y 0.000 0.000 3.129
Co 2.672 2.672 0.000
Ge 0.000 2.672 3.129
Ge 2.672 0.000 3.129

---

16
Lattice="-4.589 5.117 6.902 4.589 -5.117 6.902 4.589 5.117 -6.902" Properties=species:S:1:pos:R:3 comment="Cs2PmGeTe4 (PBE, relaxed)" e_form_raw_ev_per_atom=-0.7961 dos_at_fermi_per_ev_fu=7.5 pbc="T T T"
Cs 0.000 0.000 0.000
Cs -2.294 2.558 3.451
Cs 0.000 5.117 0.000
Cs 2.294 2.558 3.451
Pm 2.294 2.558 -3.451
Pm 2.294 -2.558 3.451
Ge 4.589 0.000 0.000
Ge 0.000 0.000 6.902
Te 4.589 -0.385 3.139
Te 2.822 2.558 -0.276
Te 6.355 2.558 -0.276
Te 4.589 4.732 -3.139
Te 0.000 0.385 10.040
Te -1.767 2.558 7.177
Te 1.767 2.558 7.177
Te 0.000 5.502 3.763

---

4
Lattice="2.958 0.000 0.000 0.000 2.958 0.000 0.000 0.000 7.611" Properties=species:S:1:pos:R:3 comment="YCu2W (PBE, relaxed)" dos_at_fermi_per_ev_fu=3.7 polymorph_energy_mev_per_atom=27 ef_mev_per_atom=323 pbc="T T T"
Y 0.000 0.000 0.000
Cu 1.479 1.479 2.131
Cu 1.479 1.479 5.480
W 0.000 0.000 3.805

---

4
Lattice="3.137 0.000 0.000 0.000 3.137 0.000 0.000 0.000 6.231" Properties=species:S:1:pos:R:3 comment="HoBeRh2 (PBE, relaxed)" dos_at_fermi_per_ev_fu=1.3 ef_mev_per_atom=-576 pbc="T T T"
Ho 0.000 0.000 0.000
Be 0.000 0.000 3.116
Rh 1.568 1.568 1.806
Rh 1.568 1.568 4.425

---

4
Lattice="2.874 0.000 0.000 0.000 2.874 0.000 0.000 0.000 7.620" Properties=species:S:1:pos:R:3 comment="FeTc2Hg (PBE, relaxed)" dos_at_fermi_per_ev_fu=4.3 ef_mev_per_atom=335 pbc="T T T"
Fe 0.000 0.000 0.000
Tc 0.000 0.000 4.253
Tc 1.437 1.437 5.862
Hg 1.437 1.437 2.021

---

4
Lattice="0.000 4.200 4.200 4.200 0.000 4.200 4.200 4.200 0.000" Properties=species:S:1:pos:R:3 comment="Cs2PtS (PBE, relaxed)" e_form_raw_ev_per_atom=0.1921 dos_at_fermi_per_ev_fu=5.7 pbc="T T T"
Cs 2.100 2.100 2.100
Cs 6.300 6.300 6.300
Pt 0.000 0.000 0.000
S 4.200 4.200 4.200